Material: Ba3Al2Sn2
Method: DFT, meta-GGA SCAN
State: PBEsol geometry

Computed properties:
Crystal system: orthorhombic
Formation energy from the elements, kcal/mol of atoms: -13.9

```
data_Ba3Al2Sn2
_chemical_formula_sum 'Ba6 Al4 Sn4'
_cell_length_a 4.5689
_cell_length_b 5.1604
_cell_length_c 20.5636
_cell_angle_alpha 90.00
_cell_angle_beta 90.00
_cell_angle_gamma 90.00
_space_group_name_H-M_alt 'I m m m'
_space_group_IT_number 71
_space_group_name_Hall '-I 2 2'
loop_
_atom_site_label
_atom_site_type_symbol
_atom_site_fract_x
_atom_site_fract_y
_atom_site_fract_z
Ba1 Ba 0.0000 0.0000 0.0000
Ba2 Ba 0.0000 0.5000 0.3169
Al1 Al 0.0000 0.0000 0.4380
Sn1 Sn 0.0000 0.5000 0.1361
```

Material: Ta2P
Method: DFT, meta-GGA SCAN
State: PBEsol geometry

Computed properties:
Crystal system: orthorhombic
Formation energy from the elements, kcal/mol of atoms: -17.6

```
data_Ta2P
_chemical_formula_sum 'Ta24 P12'
_cell_length_a 11.5053
_cell_length_b 14.3847
_cell_length_c 3.3825
_cell_angle_alpha 90.00
_cell_angle_beta 90.00
_cell_angle_gamma 90.00
_space_group_name_H-M_alt 'P n n m'
_space_group_IT_number 58
loop_
_space_group_symop_operation_xyz
'x,y,z'
'-x,-y,-z'
'-x,-y,z'
'x,y,-z'
'x+1/2,-y+1/2,-z+1/2'
'-x+1/2,y+1/2,z+1/2'
'-x+1/2,y+1/2,-z+1/2'
'x+1/2,-y+1/2,z+1/2'
loop_
_atom_site_label
_atom_site_type_symbol
_atom_site_fract_x
_atom_site_fract_y
_atom_site_fract_z
Ta1 Ta 0.0300 0.1095 0.0000
Ta2 Ta 0.0783 0.7452 0.5000
Ta3 Ta 0.0868 0.5799 0.0000
Ta4 Ta 0.1223 0.4223 0.5000
Ta5 Ta 0.1516 0.9771 0.5000
Ta6 Ta 0.1964 0.2048 0.5000
P1 P 0.0781 0.2949 0.0000
P2 P 0.1843 0.8479 0.0000
P3 P 0.2443 0.5829 0.5000
```

Material: Fe3PbO
Method: DFT, meta-GGA SCAN
State: PBEsol geometry

Computed properties:
Crystal system: cubic
Formation energy from raw total energies, eV per atom: -0.073

```
data_Fe3PbO
_chemical_formula_sum 'Fe3 Pb1 O1'
_cell_length_a 3.9903
_cell_length_b 3.9903
_cell_length_c 3.9903
_cell_angle_alpha 90.00
_cell_angle_beta 90.00
_cell_angle_gamma 90.00
_space_group_name_H-M_alt 'P m -3 m'
_space_group_IT_number 221
_space_group_name_Hall '-P 4 2 3'
loop_
_atom_site_label
_atom_site_type_symbol
_atom_site_fract_x
_atom_site_fract_y
_atom_site_fract_z
Fe1 Fe 0.0000 0.0000 0.5000
Pb1 Pb 0.5000 0.5000 0.5000
O1 O 0.0000 0.0000 0.0000
```

Material: GaPt3S
Method: DFT, meta-GGA SCAN
State: PBEsol geometry

Computed properties:
Crystal system: cubic
Formation energy from raw total energies, eV per atom: 1.009

```
data_GaPt3S
_chemical_formula_sum 'Ga1 Pt3 S1'
_cell_length_a 4.5660
_cell_length_b 4.5660
_cell_length_c 4.5660
_cell_angle_alpha 90.00
_cell_angle_beta 90.00
_cell_angle_gamma 90.00
_space_group_name_H-M_alt 'P m -3 m'
_space_group_IT_number 221
_space_group_name_Hall '-P 4 2 3'
loop_
_atom_site_label
_atom_site_type_symbol
_atom_site_fract_x
_atom_site_fract_y
_atom_site_fract_z
Ga1 Ga 0.0000 0.0000 0.0000
Pt1 Pt 0.0000 0.0000 0.5000
S1 S 0.5000 0.5000 0.5000
```

Material: CuSiAgTe2
Method: DFT, meta-GGA SCAN
State: PBEsol geometry

Computed properties:
Crystal system: tetragonal
Formation energy from raw total energies, eV per atom: 0.832

```
data_CuSiAgTe2
_chemical_formula_sum 'Cu1 Si1 Ag1 Te2'
_cell_length_a 5.2629
_cell_length_b 5.2629
_cell_length_c 4.6311
_cell_angle_alpha 90.00
_cell_angle_beta 90.00
_cell_angle_gamma 90.00
_space_group_name_H-M_alt 'P 4/m m m'
_space_group_IT_number 123
_space_group_name_Hall '-P 4 2'
loop_
_atom_site_label
_atom_site_type_symbol
_atom_site_fract_x
_atom_site_fract_y
_atom_site_fract_z
Cu1 Cu 0.0000 0.0000 0.0000
Si1 Si 0.5000 0.5000 0.5000
Ag1 Ag 0.5000 0.5000 0.0000
Te1 Te 0.0000 0.5000 0.5000
```

Material: Nb2CuTe4
Method: DFT, meta-GGA SCAN
State: PBEsol geometry

Computed properties:
Crystal system: monoclinic
Formation energy from raw total energies, eV per atom: -0.408

```
data_Nb2CuTe4
_chemical_formula_sum 'Nb2 Cu1 Te4'
_cell_length_a 6.6800
_cell_length_b 3.6009
_cell_length_c 7.2599
_cell_angle_alpha 90.00
_cell_angle_beta 107.70
_cell_angle_gamma 90.00
_space_group_name_H-M_alt 'P 1 m 1'
_space_group_IT_number 6
loop_
_space_group_symop_operation_xyz
'x,y,z'
'x,-y,z'
loop_
_atom_site_label
_atom_site_type_symbol
_atom_site_fract_x
_atom_site_fract_y
_atom_site_fract_z
Nb1 Nb 0.0000 0.0000 0.0000
Nb2 Nb 0.3647 0.5000 0.9867
Cu1 Cu 0.7794 0.0000 0.5756
Te1 Te 0.1809 0.0000 0.6985
Te2 Te 0.1966 0.5000 0.2860
Te3 Te 0.6780 0.5000 0.7848
Te4 Te 0.6834 0.0000 0.2087
```

Material: MnSi2HgSe
Method: DFT, meta-GGA SCAN
State: PBEsol geometry

Computed properties:
Crystal system: tetragonal
Formation energy from raw total energies, eV per atom: 0.993

```
data_MnSi2HgSe
_chemical_formula_sum 'Mn1 Si2 Hg1 Se1'
_cell_length_a 4.8743
_cell_length_b 4.8743
_cell_length_c 5.0781
_cell_angle_alpha 90.00
_cell_angle_beta 90.00
_cell_angle_gamma 90.00
_space_group_name_H-M_alt 'P 4/m m m'
_space_group_IT_number 123
_space_group_name_Hall '-P 4 2'
loop_
_atom_site_label
_atom_site_type_symbol
_atom_site_fract_x
_atom_site_fract_y
_atom_site_fract_z
Mn1 Mn 0.0000 0.0000 0.0000
Si1 Si 0.0000 0.5000 0.5000
Hg1 Hg 0.0000 0.0000 0.5000
Se1 Se 0.5000 0.5000 0.0000
```

Material: MnCdOs
Method: DFT, meta-GGA SCAN
State: PBEsol geometry

Computed properties:
Crystal system: trigonal
Formation energy from the elements, kcal/mol of atoms: 8.3

```
data_MnCdOs
_chemical_formula_sum 'Mn1 Cd1 Os1'
_cell_length_a 4.4086
_cell_length_b 4.4086
_cell_length_c 2.6753
_cell_angle_alpha 90.00
_cell_angle_beta 90.00
_cell_angle_gamma 120.00
_space_group_name_H-M_alt 'P 3 m 1'
_space_group_IT_number 156
loop_
_space_group_symop_operation_xyz
'x,y,z'
'-y,x-y,z'
'-x+y,-x,z'
'-y,-x,z'
'-x+y,y,z'
'x,x-y,z'
loop_
_atom_site_label
_atom_site_type_symbol
_atom_site_fract_x
_atom_site_fract_y
_atom_site_fract_z
Mn1 Mn 0.0000 0.0000 0.0000
Cd1 Cd 0.3333 0.6667 0.6200
Os1 Os 0.6667 0.3333 0.1719
```

Material: Cd2TcMo
Method: DFT, meta-GGA SCAN
State: PBEsol geometry

Computed properties:
Crystal system: orthorhombic
Formation energy from the elements, kcal/mol of atoms: 10.9
ΔE to the lowest computed polymorph, eV per atom: 0.099

```
data_Cd2TcMo
_chemical_formula_sum 'Cd2 Tc1 Mo1'
_cell_length_a 3.3105
_cell_length_b 4.2771
_cell_length_c 4.7017
_cell_angle_alpha 90.00
_cell_angle_beta 90.00
_cell_angle_gamma 90.00
_space_group_name_H-M_alt 'P m m m'
_space_group_IT_number 47
loop_
_space_group_symop_operation_xyz
'x,y,z'
'-x,-y,-z'
'-x,-y,z'
'x,y,-z'
'x,-y,-z'
'-x,y,z'
'-x,y,-z'
'x,-y,z'
loop_
_atom_site_label
_atom_site_type_symbol
_atom_site_fract_x
_atom_site_fract_y
_atom_site_fract_z
Cd1 Cd 0.0000 0.0000 0.0000
Cd2 Cd 0.5000 0.5000 0.0000
Tc1 Tc 0.0000 0.5000 0.5000
Mo1 Mo 0.5000 0.0000 0.5000
```

Material: CeInIr
Method: DFT, meta-GGA SCAN
State: PBEsol geometry

Computed properties:
Crystal system: hexagonal
Formation energy from the elements, kcal/mol of atoms: -18.9

```
data_CeInIr
_chemical_formula_sum 'Ce3 In3 Ir3'
_cell_length_a 7.4660
_cell_length_b 7.4660
_cell_length_c 3.9455
_cell_angle_alpha 90.00
_cell_angle_beta 90.00
_cell_angle_gamma 120.00
_space_group_name_H-M_alt 'P -6 2 m'
_space_group_IT_number 189
_space_group_name_Hall 'P -6 -2'
loop_
_atom_site_label
_atom_site_type_symbol
_atom_site_fract_x
_atom_site_fract_y
_atom_site_fract_z
Ce1 Ce 0.0000 0.4118 0.0000
In1 In 0.0000 0.7475 0.5000
Ir1 Ir 0.0000 0.0000 0.0000
Ir2 Ir 0.3333 0.6667 0.5000
```

Material: CaBeWI2
Method: DFT, meta-GGA SCAN
State: PBEsol geometry

Computed properties:
Crystal system: tetragonal
Formation energy from raw total energies, eV per atom: 0.856

```
data_CaBeWI2
_chemical_formula_sum 'Ca1 Be1 W1 I2'
_cell_length_a 5.1045
_cell_length_b 5.1045
_cell_length_c 4.4001
_cell_angle_alpha 90.00
_cell_angle_beta 90.00
_cell_angle_gamma 90.00
_space_group_name_H-M_alt 'P 4/m m m'
_space_group_IT_number 123
_space_group_name_Hall '-P 4 2'
loop_
_atom_site_label
_atom_site_type_symbol
_atom_site_fract_x
_atom_site_fract_y
_atom_site_fract_z
Ca1 Ca 0.0000 0.0000 0.0000
Be1 Be 0.5000 0.5000 0.5000
W1 W 0.5000 0.5000 0.0000
I1 I 0.0000 0.5000 0.5000
```

Material: BaScSi2
Method: DFT, meta-GGA SCAN
State: PBEsol geometry

Computed properties:
Crystal system: trigonal
Formation energy from raw total energies, eV per atom: 0.031
ΔE to the lowest computed polymorph, eV per atom: 0.468

```
data_BaScSi2
_chemical_formula_sum 'Ba3 Sc3 Si6'
_cell_length_a 3.5980
_cell_length_b 3.5980
_cell_length_c 26.2873
_cell_angle_alpha 90.00
_cell_angle_beta 90.00
_cell_angle_gamma 120.00
_space_group_name_H-M_alt 'R -3 m'
_space_group_IT_number 166
_space_group_name_Hall '-R 3 2"'
loop_
_atom_site_label
_atom_site_type_symbol
_atom_site_fract_x
_atom_site_fract_y
_atom_site_fract_z
Ba1 Ba 0.0000 0.0000 0.0000
Sc1 Sc 0.0000 0.0000 0.5000
Si1 Si 0.0000 0.0000 0.2377
```